VASP calculation (GGA-PBE) on HfSbAu2 after structural relaxation.

abc: 4.2885 4.2885 6.1127
angles: 69.46 69.46 60.00
Atoms (fractional coordinates):
Hf: 0.0000 0.0000 0.0000
Au: 0.2519 0.2519 0.2444
Au: 0.7481 0.7481 0.7556
Sb: 0.5000 0.5000 0.5000

Calculated values
Crystal system: trigonal
Raw formation energy (meV/atom): -197
Electronic total energy (eV per cell): -21.42

***

VASP calculation (GGA-PBE) on HfSbAu after structural relaxation.

abc: 3.9626 4.4539 4.4539
angles: 120.00 90.00 90.00
Atoms (fractional coordinates):
Hf: 0.2589 0.3333 0.6667
Au: 0.0335 0.0000 0.0000
Sb: 0.7076 0.6667 0.3333

Calculated values
Crystal system: trigonal
Raw formation energy (meV/atom): -294
Electronic total energy (eV per cell): -18.24